Entry 1:
Here is crystalline Ba2SrZnIn at its relaxed geometry from Alexandria via LeMat-Bulk. Energies are from PBE.

Cell lengths 6.4981, 6.4981, 5.2133 Å; angles 90.00, 90.00, 90.00 degrees
Last column: nearest neighbours and their distance in Å.
Space group P4/mmm (No. 123)
Inequivalent atoms, fractional coordinates:
Ba  0.0000  0.5000  0.0000 [2 per cell]  2 Zn 3.25
Sr  0.0000  0.0000  0.5000 [1 per cell]  8 Ba 4.17, 4 In 4.59
Zn  0.5000  0.5000  0.0000 [1 per cell]  2 In 2.61
In  0.5000  0.5000  0.5000 [1 per cell]  2 Zn 2.61

Properties
Energy = -9.85 eV for the cell shown
Crystal system = tetragonal
Energy relative to the elements = -0.061 eV/atom

=====

Entry 2:
Here is crystalline Ba3Sr3ZnIn2 at its relaxed geometry from Alexandria via LeMat-Bulk. Energies are from PBE.

Cell lengths 9.8451, 9.8451, 4.5436 Å; angles 90.00, 90.00, 120.00 degrees
Last column: nearest neighbours and their distance in Å.
Space group P-62m (No. 189)
Inequivalent atoms, fractional coordinates:
Ba  0.0000  0.7465  0.0000 [3 per cell]  2 Zn 3.37, 2 In 3.74
Sr  0.0000  0.4107  0.5000 [3 per cell]  4 In 3.74, 2 Ba 4.01, 1 Zn 4.04
Zn  0.0000  0.0000  0.5000 [1 per cell]  6 Ba 3.37
In  0.3333  0.6667  0.0000 [2 per cell]  3 Ba 3.74, 6 Sr 3.74

Properties
Energy = -19.32 eV for the cell shown
Crystal system = hexagonal
Energy relative to the elements = -0.195 eV/atom

=====

Entry 3:
Here is crystalline BaSrZn2In2 at its relaxed geometry from Alexandria via LeMat-Bulk. Energies are from PBE.

Cell lengths 4.9513, 4.9513, 8.3812 Å; angles 90.00, 90.00, 120.00 degrees
Last column: nearest neighbours and their distance in Å.
Space group P-3m1 (No. 164)
Inequivalent atoms, fractional coordinates:
Ba  0.0000  0.0000  0.0000 [1 per cell]  6 In 3.73, 6 Zn 3.76
Sr  0.0000  0.0000  0.5000 [1 per cell]  6 Zn 3.35, 6 In 3.38
Zn  0.3333  0.6667  0.7083 [2 per cell]  3 In 2.86
In  0.3333  0.6667  0.2851 [2 per cell]  3 Zn 2.86

Properties
Energy = -13.64 eV for the cell shown
Crystal system = trigonal
Energy relative to the elements = -0.334 eV/atom

=====

Entry 4:
Here is crystalline BaTaIn3 at its relaxed geometry from Alexandria via LeMat-Bulk. Energies are from PBE.

Cell lengths 5.4622, 5.4622, 5.4622 Å; angles 90.00, 90.00, 90.00 degrees
Last column: nearest neighbours and their distance in Å.
Space group Pm-3m (No. 221)
Inequivalent atoms, fractional coordinates:
Ba  0.0000  0.0000  0.0000 [1 per cell]  12 In 3.86
Ta  0.5000  0.5000  0.5000 [1 per cell]  6 In 2.73
In  0.0000  0.5000  0.5000 [3 per cell]  2 Ta 2.73

Properties
Energy = -21.83 eV for the cell shown
Crystal system = cubic
Energy relative to the elements = 0.033 eV/atom
Distance to the lowest polymorph of the same formula = 0.0 kJ per mole of atoms

=====

Entry 5:
Here is crystalline Ba4TaIn at its relaxed geometry from Alexandria via LeMat-Bulk. Energies are from PBE.

Cell lengths 9.9945, 9.9945, 9.9945 Å; angles 90.00, 90.00, 90.00 degrees
Last column: nearest neighbours and their distance in Å.
Space group F-43m (No. 216)
Inequivalent atoms, fractional coordinates:
Ba  0.1253  0.1253  0.1253 [16 per cell]  6 Ba 3.53-3.54
Ta  0.0000  0.0000  0.5000 [4 per cell]  12 Ba 4.14, 4 In 4.33
In  0.2500  0.2500  0.7500 [4 per cell]  12 Ba 4.14, 4 Ta 4.33

Properties
Energy = -65.57 eV for the cell shown
Crystal system = cubic
Energy relative to the elements = 0.982 eV/atom

=====

Entry 6:
Here is crystalline BaTa3In at its relaxed geometry from Alexandria via LeMat-Bulk. Energies are from PBE.

Cell lengths 5.1075, 5.1075, 5.1075 Å; angles 90.00, 90.00, 90.00 degrees
Last column: nearest neighbours and their distance in Å.
Space group Pm-3m (No. 221)
Inequivalent atoms, fractional coordinates:
Ba  0.0000  0.0000  0.0000 [1 per cell]  6 Ta 2.55
Ta  0.0000  0.0000  0.5000 [3 per cell]  2 Ba 2.55
In  0.5000  0.5000  0.5000 [1 per cell]  12 Ta 3.61

Properties
Energy = -26.27 eV for the cell shown
Crystal system = cubic
Energy relative to the elements = 2.791 eV/atom
Distance to the lowest polymorph of the same formula = 80.1 kJ per mole of atoms

=====

| no. | total moment (μB/cell) |
| --- | --- |
| 1 | 0.000 |
| 2 | 0.002 |
| 3 | 0.000 |
| 4 | 0.000 |
| 5 | 15.364 |
| 6 | 0.000 |